# 1
The following is a PBE calculation of a relaxed structure of Ho2Er2Ni15, from Alexandria.

It has space group R-3m (No. 166, hexagonal axes), with a = 8.4902 Å, b = 8.4902 Å, c = 12.5931 Å, α = 90.00°, β = 90.00° and γ = 120.00°. The asymmetric unit holds Ho at (0.0000, 0.0000, 0.1387), Er at (0.0000, 0.0000, 0.3890), Ni at (0.0000, 0.3108, 0.5000), Ni at (0.0000, 0.5000, 0.0000) and Ni at (0.0111, 0.5055, 0.6566).

Its spin magnetization is 6.9 μB/cell. The value obtained for the total energy is -5.783 eV/atom.

# 2
The following is a PBE calculation of a relaxed structure of HoEr3Ni8, from Alexandria.

It has space group R3m (No. 160, hexagonal axes), with a = 5.0367 Å, b = 5.0367 Å, c = 24.7455 Å, α = 90.00°, β = 90.00° and γ = 120.00°. The asymmetric unit holds Ho at (0.0000, 0.0000, 0.0000), Er at (0.0000, 0.0000, 0.1249), Er at (0.0000, 0.0000, 0.5000), Er at (0.0000, 0.0000, 0.6248), Ni at (0.0000, 0.0000, 0.3124), Ni at (0.0000, 0.0000, 0.8124), Ni at (0.0001, 0.5000, 0.0625) and Ni at (0.9997, 0.4998, 0.5623).

Its spin magnetization is 0.0 μB/cell. The value obtained for the total energy is -5.853 eV/atom.

# 3
The following is a PBE calculation of a relaxed structure of HoErNi, from Alexandria.

It has space group P3m1 (No. 156), with a = 3.9032 Å, b = 3.9032 Å, c = 6.0556 Å, α = 90.00°, β = 90.00° and γ = 120.00°. The asymmetric unit holds Ho at (0.0000, 0.0000, 0.0000), Er at (0.3333, 0.6667, 0.4796) and Ni at (0.6667, 0.3333, 0.2415).

Its spin magnetization is 0.0 μB/cell. The value obtained for the total energy is -5.151 eV/atom.

| no. | formation energy (kJ/mol of formula units) |
| --- | --- |
| 1 | -470 |
| 2 | -551 |
| 3 | -51 |